The following is a PBE calculation of crystalline Rb6CdHg at its relaxed geometry, from Alexandria.

Unit cell a=4.9529 b=10.5739 c=10.5738 alpha=95.75 beta=90.00 gamma=90.00
Last column: nearest neighbours and their distance in Å.
Fractional coordinates of all 8 atoms:
Rb 0.5000 0.9291 0.0709  2 Cd 4.22, 2 Rb 4.35
Rb 0.5000 0.3416 0.0882  1 Hg 3.70, 2 Cd 3.94
Rb 0.5000 0.9118 0.6584  1 Hg 3.70, 2 Cd 3.94
Rb 0.0000 0.6616 0.3383  10 Rb 4.77-5.05
Rb 0.0000 0.5349 0.7865  2 Hg 3.81, 1 Cd 4.23
Rb 0.0000 0.2135 0.4651  2 Hg 3.81, 1 Cd 4.23
Cd 0.0000 0.1468 0.8532  2 Hg 3.05
Hg 0.5000 0.2606 0.7394  2 Cd 3.05

Output
The raw total energy is -7.5 eV/cell. The energy of formation comes out at -0.055 eV/atom.

The following is a PBE calculation of crystalline Be2AsCl at its relaxed geometry, from Alexandria.

Unit cell a=6.2201 b=6.2201 c=6.2201 alpha=153.80 beta=98.57 gamma=87.35
Last column: nearest neighbours and their distance in Å.
Fractional coordinates of all 4 atoms:
Be 0.7562 0.2562 0.5000  2 Cl 1.96
Be 0.9733 0.9733 0.0000  2 As 2.24, 2 Be 2.41
As 0.1663 0.6663 0.5000  2 Be 2.24
Cl 0.6043 0.6043 0.0000  2 Be 1.96

Output
The raw total energy is -13.0 eV/cell. The calculation puts the polymorph energy (0 for the lowest one) at 0.6398 eV/atom. The uncorrected formation energy is 21.8 kJ/mol of atoms.

The following is a PBE calculation of crystalline HgPRh2 at its relaxed geometry, from Alexandria.

Unit cell a=2.9081 b=3.6985 c=6.3352 alpha=90.00 beta=90.00 gamma=90.00
Last column: nearest neighbours and their distance in Å.
Fractional coordinates of all 4 atoms:
Rh 0.0000 0.0000 0.9447  4 P 2.41
Rh 0.5000 0.5000 0.2172  1 P 2.23
Hg 0.0000 0.0000 0.4726  5 Rh 2.85-2.99, 2 Hg 2.91
P 0.5000 0.5000 0.8655  5 Rh 2.23-2.41

Output
The raw total energy is -20.7 eV/cell. The energy of formation comes out at -0.076 eV/atom.

The following is a PBE calculation of crystalline Y2V2Ni at its relaxed geometry, from Alexandria.

Unit cell a=8.1243 b=8.1243 c=3.3753 alpha=90.00 beta=90.00 gamma=90.00
Last column: nearest neighbours and their distance in Å.
Fractional coordinates of all 10 atoms:
Y 0.7965 0.7035 0.0000  2 Ni 2.92, 6 V 2.97-3.04
Y 0.2965 0.7965 0.0000  2 Ni 2.92, 6 V 2.97-3.04
Y 0.7035 0.2035 0.0000  2 Ni 2.92, 6 V 2.97-3.04
Y 0.2035 0.2965 0.0000  2 Ni 2.92, 6 V 2.97-3.04
Ni 0.5000 0.5000 0.0000  4 Y 2.92
Ni 0.0000 0.0000 0.0000  4 Y 2.92
V 0.4163 0.0837 0.5000  1 V 1.92
V 0.5837 0.9163 0.5000  1 V 1.92
V 0.9163 0.4163 0.5000  1 V 1.92
V 0.0837 0.5837 0.5000  1 V 1.92

Output
The raw total energy is -67.2 eV/cell. The energy of formation comes out at 0.671 eV/atom. The calculation puts the polymorph energy (0 for the lowest one) at 0.4002 eV/atom.

The following is a PBE calculation of crystalline CrInCu at its relaxed geometry, from Alexandria.

Unit cell a=2.8487 b=2.8487 c=6.6329 alpha=90.00 beta=90.00 gamma=120.00
Last column: nearest neighbours and their distance in Å.
Fractional coordinates of all 3 atoms:
Cu 0.3333 0.6667 0.3142  3 Cr 2.57, 6 Cu 2.85, 3 In 2.87
In 0.6667 0.3333 0.6693  3 Cr 2.83, 6 In 2.85, 3 Cu 2.87
Cr 0.0000 0.0000 0.0165  3 Cu 2.57, 3 In 2.83, 6 Cr 2.85

Output
The raw total energy is -14.7 eV/cell. The energy of formation comes out at 0.596 eV/atom.

The following is a PBE calculation of crystalline NdZnRh at its relaxed geometry, from Alexandria.

Unit cell a=4.1571 b=7.1172 c=8.2319 alpha=90.00 beta=90.00 gamma=90.00
Last column: nearest neighbours and their distance in Å.
Fractional coordinates of all 12 atoms:
Zn 0.7500 0.3600 0.5649  4 Rh 2.66-2.75
Zn 0.7500 0.8600 0.9351  4 Rh 2.66-2.75
Zn 0.2500 0.1400 0.0649  4 Rh 2.66-2.75
Zn 0.2500 0.6400 0.4351  4 Rh 2.66-2.75
Nd 0.7500 0.9640 0.3120  5 Rh 2.98-3.02, 5 Zn 3.17-3.27
Nd 0.7500 0.4640 0.1880  5 Rh 2.98-3.02, 5 Zn 3.17-3.27
Nd 0.2500 0.5360 0.8120  5 Rh 2.98-3.02, 5 Zn 3.17-3.27
Nd 0.2500 0.0360 0.6880  5 Rh 2.98-3.02, 5 Zn 3.17-3.27
Rh 0.7500 0.2389 0.8820  4 Zn 2.66-2.75
Rh 0.2500 0.7611 0.1180  4 Zn 2.66-2.75
Rh 0.7500 0.7389 0.6180  4 Zn 2.66-2.75
Rh 0.2500 0.2611 0.3820  4 Zn 2.66-2.75

Output
The raw total energy is -61.4 eV/cell. The energy of formation comes out at -0.651 eV/atom.

The following is a PBE calculation of crystalline TmZr2Ta at its relaxed geometry, from Alexandria.

Unit cell a=3.1854 b=3.1854 c=10.7021 alpha=81.44 beta=81.44 gamma=60.00
Last column: nearest neighbours and their distance in Å.
Fractional coordinates of all 4 atoms:
Tm 0.5000 0.5000 0.5000  6 Tm 3.19, 6 Zr 3.38
Zr 0.7435 0.7435 0.7694  3 Ta 3.05, 6 Zr 3.19, 3 Tm 3.38
Zr 0.2565 0.2565 0.2306  3 Ta 3.05, 6 Zr 3.19, 3 Tm 3.38
Ta 0.0000 0.0000 0.0000  6 Zr 3.05, 6 Ta 3.19

Output
The raw total energy is -32.5 eV/cell. The energy of formation comes out at 0.231 eV/atom. The calculation puts the polymorph energy (0 for the lowest one) at 0.0889 eV/atom.

The following is a PBE calculation of crystalline CeGeH at its relaxed geometry, from Alexandria.

Unit cell a=4.2282 b=4.1037 c=6.1449 alpha=90.00 beta=110.14 gamma=90.00
Last column: nearest neighbours and their distance in Å.
Fractional coordinates of all 6 atoms:
H 0.3695 0.6155 0.2020  4 Ce 2.38-2.39
H 0.8606 0.1155 0.1837  4 Ce 2.38-2.39
Ge 0.5483 0.1155 0.5588  2 Ge 2.57
Ge 0.6818 0.6155 0.8268  2 Ge 2.57
Ce 0.2648 0.1155 0.9924  4 H 2.38-2.39
Ce 0.9653 0.6155 0.3933  4 H 2.38-2.39

Output
The raw total energy is -32.1 eV/cell. The calculation puts the polymorph energy (0 for the lowest one) at 0.0000 eV/atom.

The following is a PBE calculation of crystalline ScMnTe3 at its relaxed geometry, from Alexandria.

Unit cell a=5.2017 b=5.2017 c=5.2017 alpha=90.00 beta=90.00 gamma=90.00
Last column: nearest neighbours and their distance in Å.
Fractional coordinates of all 5 atoms:
Te 0.0000 0.0000 0.5000  2 Mn 2.60
Te 0.0000 0.5000 0.0000  2 Mn 2.60
Te 0.5000 0.0000 0.0000  2 Mn 2.60
Sc 0.5000 0.5000 0.5000  12 Te 3.68
Mn 0.0000 0.0000 0.0000  6 Te 2.60

Output
The raw total energy is -24.8 eV/cell. The calculation puts the polymorph energy (0 for the lowest one) at 0.6602 eV/atom. The uncorrected formation energy is 1.9 kJ/mol of atoms.

The following is a PBE calculation of crystalline Hf2BiPt at its relaxed geometry, from Alexandria.

Unit cell a=3.9331 b=3.9331 c=7.4044 alpha=74.60 beta=74.60 gamma=60.00
Last column: nearest neighbours and their distance in Å.
Fractional coordinates of all 4 atoms:
Hf 0.2643 0.2643 0.2070  3 Pt 2.70
Hf 0.7357 0.7357 0.7930  3 Pt 2.70
Pt 0.0000 0.0000 0.0000  6 Hf 2.70
Bi 0.5000 0.5000 0.5000  6 Hf 3.07

Output
The raw total energy is -31.7 eV/cell. The energy of formation comes out at -0.461 eV/atom.

The following is a PBE calculation of crystalline Dy6CdIn at its relaxed geometry, from Alexandria.

Unit cell a=4.8467 b=4.8467 c=9.6786 alpha=90.00 beta=90.00 gamma=90.00
Last column: nearest neighbours and their distance in Å.
Fractional coordinates of all 8 atoms:
Dy 0.5000 0.5000 0.0000  8 Dy 3.43, 4 In 3.43
Dy 0.5000 0.5000 0.5000  8 Dy 3.42, 4 Cd 3.43
Dy 0.0000 0.5000 0.7498  8 Dy 3.42-3.43, 2 Cd 3.42, 2 In 3.43
Dy 0.0000 0.5000 0.2502  2 Cd 3.42, 8 Dy 3.42-3.43, 2 In 3.43
Dy 0.5000 0.0000 0.2502  2 Cd 3.42, 8 Dy 3.42-3.43, 2 In 3.43
Dy 0.5000 0.0000 0.7498  8 Dy 3.42-3.43, 2 Cd 3.42, 2 In 3.43
Cd 0.0000 0.0000 0.5000  12 Dy 3.42-3.43
In 0.0000 0.0000 0.0000  12 Dy 3.43

Output
The raw total energy is -32.7 eV/cell. The energy of formation comes out at -0.177 eV/atom.

The following is a PBE calculation of crystalline TaTl2Cu2Se6 at its relaxed geometry, from Alexandria.

Unit cell a=7.3317 b=7.3317 c=7.6897 alpha=61.53 beta=61.53 gamma=60.00
Last column: nearest neighbours and their distance in Å.
Fractional coordinates of all 11 atoms:
Ta 0.0000 0.0000 0.0000  6 Se 2.56
Se 0.7599 0.2229 0.2572  1 Cu 2.31, 1 Ta 2.56
Se 0.2401 0.2401 0.7428  1 Cu 2.31, 1 Ta 2.56
Se 0.7599 0.7599 0.2572  1 Cu 2.31, 1 Ta 2.56
Se 0.2401 0.7771 0.7428  1 Cu 2.31, 1 Ta 2.56
Se 0.7771 0.2401 0.7428  1 Cu 2.31, 1 Ta 2.56
Se 0.2229 0.7599 0.2572  1 Cu 2.31, 1 Ta 2.56
Cu 0.6008 0.6008 0.1976  3 Se 2.31
Cu 0.3992 0.3992 0.8024  3 Se 2.31
Tl 0.7693 0.7693 0.6920  1 Cu 3.25, 3 Se 3.41
Tl 0.2307 0.2307 0.3080  1 Cu 3.25, 3 Se 3.41

Output
The raw total energy is -48.1 eV/cell. The uncorrected formation energy is -21.6 kJ/mol of atoms.